# 1
The following is a GGA-PBE calculation of Zn2P2Au after structural relaxation, from Alexandria via LeMat-Bulk.

Cell lengths 6.9914, 6.9914, 3.5638 Å; angles 90.00, 90.00, 90.00 degrees
Space group P4/mbm (No. 127)
One atom of each set of equivalent atoms:
1 Zn 0.1299 0.3701 0.0000 (multiplicity 4)
2 P 0.1916 0.6916 0.5000 (multiplicity 4)
3 Au 0.0000 0.0000 0.5000 (multiplicity 2)

For the formation energy, the calculation gives 0.216 eV per atom. The calculation puts the energy above the most stable polymorph in this dataset at 77 meV per atom.



# 2
The following is a GGA-PBE calculation of Tl2PbBr after structural relaxation, from Alexandria via LeMat-Bulk.

Cell lengths 4.7076, 4.7076, 11.5270 Å; angles 90.00, 90.00, 90.00 degrees
Space group I4/mmm (No. 139)
One atom of each set of equivalent atoms:
1 Tl 0.0000 0.5000 0.2500 (multiplicity 4)
2 Pb 0.0000 0.0000 0.0000 (multiplicity 2)
3 Br 0.0000 0.0000 0.5000 (multiplicity 2)

The calculation puts the energy above the most stable polymorph in this dataset at 116 meV per atom.



# 3
The following is a GGA-PBE calculation of Pm2Pr4SmHo2 after structural relaxation, from Alexandria via LeMat-Bulk.

Cell lengths 15.5052, 5.1681, 8.1375 Å; angles 90.00, 108.53, 90.00 degrees
Space group C2/m (No. 12)
One atom of each set of equivalent atoms:
1 Pm 0.1117 0.0000 0.1696 (multiplicity 4)
2 Pr 0.0545 0.5000 0.8306 (multiplicity 4)
3 Pr 0.2224 0.0000 0.8298 (multiplicity 4)
4 Sm 0.0000 0.0000 0.5000 (multiplicity 2)
5 Ho 0.1676 0.5000 0.4994 (multiplicity 4)

For the formation energy, the calculation gives 0.019 eV per atom.



# 4
The following is a GGA-PBE calculation of Nb4SiP after structural relaxation, from Alexandria via LeMat-Bulk.

Cell lengths 5.9744, 6.0122, 6.0411 Å; angles 90.00, 92.68, 90.00 degrees
Space group P2_1/c (No. 14)
One atom of each set of equivalent atoms:
1 Nb 0.1335 0.1383 0.1469 (multiplicity 4)
2 Nb 0.3637 0.6350 0.1266 (multiplicity 4)
3 Si 0.5000 0.0000 0.0000 (multiplicity 2)
4 P 0.0000 0.0000 0.5000 (multiplicity 2)

The energy is -8.718 eV/atom.



# 5
The following is a GGA-PBE calculation of LaPb6BrO7 after structural relaxation, from Alexandria via LeMat-Bulk.

Cell lengths 9.8347, 17.2406, 8.2527 Å; angles 90.00, 90.00, 90.00 degrees
Space group Cmcm (No. 63)
One atom of each set of equivalent atoms:
1 La 0.0000 0.0000 0.0000 (multiplicity 4)
2 Pb 0.0000 0.2202 0.0155 (multiplicity 8)
3 Pb 0.2119 0.4044 0.7500 (multiplicity 8)
4 Pb 0.2370 0.1274 0.7500 (multiplicity 8)
5 Br 0.0000 0.5000 0.0000 (multiplicity 4)
6 O 0.0000 0.1874 0.7500 (multiplicity 4)
7 O 0.1500 0.0095 0.7500 (multiplicity 8)
8 O 0.1503 0.1250 0.0293 (multiplicity 16)

The energy is -5.755 eV/atom.



# 6
The following is a GGA-PBE calculation of Hf4MnAs after structural relaxation, from Alexandria via LeMat-Bulk.

Cell lengths 6.1576, 6.4113, 6.3421 Å; angles 90.00, 93.09, 90.00 degrees
Space group P2_1/c (No. 14)
One atom of each set of equivalent atoms:
1 Hf 0.1326 0.1713 0.3458 (multiplicity 4)
2 Hf 0.3423 0.6473 0.3446 (multiplicity 4)
3 Mn 0.0000 0.0000 0.0000 (multiplicity 2)
4 As 0.5000 0.0000 0.5000 (multiplicity 2)

For the formation energy, the calculation gives -0.144 eV per atom.